4
Lattice="-2.846 -2.929 1.769 0.580 0.150 -4.418 3.242 -1.571 2.614" Properties=species:S:1:pos:R:3 comment="LiAg2Mo SCAN single point on PBEsol structure" polymorph_energy_mev_per_atom=268.1 ef_kj_per_mol_fu=231 spacegroup="I4/mmm (139)" pbc="T T T"
Ag -1.034 -2.515 -0.229
Ag 2.010 -1.836 0.194
Li 0.198 -2.250 2.192
Mo 0.000 0.000 0.000

---

4
Lattice="2.652 0.000 0.000 0.000 4.932 0.176 0.000 -1.084 4.814" Properties=species:S:1:pos:R:3 comment="LiAg2Mo SCAN single point on PBEsol structure" polymorph_energy_mev_per_atom=0.0 ef_kj_per_mol_fu=127 spacegroup="Cmmm (65)" pbc="T T T"
Ag 0.000 2.466 0.088
Ag 0.000 -0.542 2.407
Li 1.326 0.000 0.000
Mo 1.326 1.924 2.495

---

6
Lattice="4.965 0.000 0.000 2.483 4.300 0.000 2.483 1.433 4.054" Properties=species:S:1:pos:R:3 comment="Li4AgMo SCAN single point on PBEsol structure" ef_kj_per_mol_fu=250 spacegroup="F-43m (216)" pbc="T T T"
Ag 0.000 0.000 0.000
Li 3.725 2.151 1.521
Li 4.965 2.867 3.545
Li 6.205 2.151 1.521
Li 4.965 4.298 1.521
Mo 7.448 4.300 3.041

---

5
Lattice="-4.239 0.306 -1.072 0.078 -4.746 -1.661 -1.276 -1.625 4.585" Properties=species:S:1:pos:R:3 comment="Li2AgMoS SCAN single point on PBEsol structure" spacegroup="P4/mmm (123)" formation_energy_uncorrected_ev_per_fu=3.19 pbc="T T T"
Mo 0.000 0.000 0.000
S -2.119 0.153 -0.536
Ag -2.719 -3.033 0.926
Li -0.638 -0.812 2.292
Li 0.039 -2.373 -0.830

---

8
Lattice="-0.423 3.451 -2.866 1.262 -2.671 -3.403 -5.170 -1.629 2.344" Properties=species:S:1:pos:R:3 comment="LiAgN2 SCAN single point on PBEsol structure" spacegroup="I-42d (122)" formation_energy_uncorrected_ev_per_fu=5.22 pbc="T T T"
Li -2.587 1.106 -1.828
Li 0.420 0.390 -3.134
Ag -1.744 -1.955 -2.096
Ag 0.000 0.000 0.000
N -0.342 -1.491 -3.432
N -1.194 1.652 -3.232
N -3.788 -1.092 1.015
N -3.338 -0.766 -2.200

---

5
Lattice="3.714 0.000 0.000 0.000 3.714 0.000 0.000 0.000 4.896" Properties=species:S:1:pos:R:3 comment="LiAgSeN2 SCAN single point on PBEsol structure" spacegroup="P4/mmm (123)" formation_energy_uncorrected_ev_per_fu=7.51 pbc="T T T"
Li 0.000 0.000 0.000
Se 0.000 0.000 2.448
Ag 1.857 1.857 2.448
N 0.000 1.857 0.000
N 1.857 0.000 0.000

---

5
Lattice="4.282 0.000 0.000 0.000 4.245 0.000 0.000 0.000 4.245" Properties=species:S:1:pos:R:3 comment="LiSiAg2N SCAN single point on PBEsol structure" spacegroup="P4/mmm (123)" formation_energy_uncorrected_ev_per_fu=7.83 pbc="T T T"
Si 2.141 0.000 0.000
Li 0.000 0.000 0.000
Ag 0.000 0.000 2.123
Ag 0.000 2.123 0.000
N 2.141 2.123 2.123

---

5
Lattice="5.011 0.000 0.000 0.000 5.011 0.000 0.000 0.000 5.011" Properties=species:S:1:pos:R:3 comment="NaLi3Ag SCAN single point on PBEsol structure" ef_kj_per_mol_fu=6 spacegroup="Pm-3m (221)" pbc="T T T"
Na 2.505 2.505 2.505
Ag 0.000 0.000 0.000
Li 0.000 2.505 0.000
Li 0.000 0.000 2.505
Li 2.505 0.000 0.000

---

5
Lattice="4.616 0.000 0.000 0.000 4.616 0.000 0.000 0.000 4.616" Properties=species:S:1:pos:R:3 comment="NaLiAg3 SCAN single point on PBEsol structure" ef_kj_per_mol_fu=118 spacegroup="Pm-3m (221)" pbc="T T T"
Na 2.308 2.308 2.308
Ag 0.000 2.308 0.000
Ag 0.000 0.000 2.308
Ag 2.308 0.000 0.000
Li 0.000 0.000 0.000

---

5
Lattice="-0.291 -4.425 2.143 4.634 0.471 1.601 -1.643 2.111 4.136" Properties=species:S:1:pos:R:3 comment="LiNb3Ag SCAN single point on PBEsol structure" ef_kj_per_mol_fu=899 spacegroup="Pm-3m (221)" pbc="T T T"
Nb 2.317 0.235 0.800
Nb -0.822 1.056 2.068
Nb -0.146 -2.213 1.072
Ag 0.000 0.000 0.000
Li 1.350 -0.922 3.940

---

5
Lattice="-4.459 1.608 0.051 -1.368 -3.691 -3.237 -1.059 -3.060 3.936" Properties=species:S:1:pos:R:3 comment="LiNbAg2Pt SCAN single point on PBEsol structure" ef_kj_per_mol_fu=302 spacegroup="P4/mmm (123)" pbc="T T T"
Nb -2.229 0.804 0.025
Ag -0.529 -1.530 1.968
Ag -0.684 -1.845 -1.619
Pt 0.000 0.000 0.000
Li -3.443 -2.571 0.375

---

4
Lattice="-2.998 1.432 1.757 -0.683 -3.349 1.563 4.122 1.938 1.434" Properties=species:S:1:pos:R:3 comment="LiNiAg2 SCAN single point on PBEsol structure" ef_kj_per_mol_fu=33 spacegroup="I-4m2 (119)" pbc="T T T"
Ag 0.000 0.000 0.000
Ag -0.358 1.206 2.426
Li -1.841 -0.959 1.660
Ni 0.799 -1.185 2.329

---

4
Lattice="2.706 0.000 0.000 0.000 4.328 0.000 -1.353 -2.164 4.256" Properties=species:S:1:pos:R:3 comment="LiNi2Ag SCAN single point on PBEsol structure" ef_kj_per_mol_fu=78 spacegroup="Imm2 (44)" pbc="T T T"
Ag 0.000 0.000 4.220
Li 0.000 2.164 2.209
Ni 0.000 0.000 0.087
Ni 1.353 0.000 1.995

---

5
Lattice="-2.891 -2.482 -0.978 0.632 -2.038 3.305 -2.591 2.272 1.897" Properties=species:S:1:pos:R:3 comment="Li3AgO SCAN single point on PBEsol structure" spacegroup="Pm-3m (221)" formation_energy_uncorrected_ev_per_fu=-5.42 pbc="T T T"
O 0.000 0.000 0.000
Ag -2.425 -1.124 2.112
Li 0.316 -1.019 1.652
Li -1.296 1.136 0.948
Li -1.446 -1.241 -0.489

---

8
Lattice="-1.212 2.027 -4.500 3.379 -3.038 -2.278 -5.697 -4.027 2.590" Properties=species:S:1:pos:R:3 comment="LiAg2O SCAN single point on PBEsol structure" spacegroup="I-42d (122)" formation_energy_uncorrected_ev_per_fu=0.19 pbc="T T T"
O -0.617 -3.785 -1.538
O 0.000 0.000 0.000
Ag 1.270 -3.227 -2.318
Ag -0.198 -2.077 -0.359
Ag -1.160 -5.701 -0.821
Ag -2.381 -4.134 -2.656
Li -2.912 -1.252 -2.650
Li 1.084 -0.505 -3.389

---

| no. | calculated density (Mg/m³) | DOS(E_F) (states/eV/cell) |
| --- | --- | --- |
| 1 | 8.5 | 4.409 |
| 2 | 8.3 | 1.752 |
| 3 | 4.4 | 2.165 |
| 4 | 3.7 | 2.565 |
| 5 | 4.7 | 3.493 |
| 6 | 5.5 | 2.723 |
| 7 | 5.7 | 1.520 |
| 8 | 2.0 | 2.102 |
| 9 | 6.0 | 1.095 |
| 10 | 5.5 | 9.158 |
| 11 | 6.9 | 2.295 |
| 12 | 8.3 | 1.995 |
| 13 | 7.7 | 3.987 |
| 14 | 3.9 | 0.027 |
| 15 | 4.7 | 2.533 |